Here is a geometry-optimized Ta3W13 structure from Alexandria via LeMat-Bulk. Energies are from PBEsol.

a = 6.340 Å, b = 6.347 Å, c = 6.347 Å
α = 89.95°, β = 90.00°, γ = 90.00°
Fractional coordinates of all 16 atoms:
Ta 0.749 0.999 0.999
Ta 0.000 0.253 0.253
Ta 0.251 0.999 0.999
W 0.749 0.501 0.999
W 0.749 0.501 0.501
W 0.749 0.999 0.501
W 0.000 0.252 0.748
W 0.000 0.748 0.252
W 0.000 0.748 0.748
W 0.251 0.501 0.999
W 0.251 0.501 0.501
W 0.251 0.999 0.501
W 0.500 0.252 0.252
W 0.500 0.252 0.748
W 0.500 0.748 0.252
W 0.500 0.748 0.748

Properties
SG: Amm2, No. 38
raw total energy: -13.6383 eV/atom
DOS(E_F): 6.673 states/eV per cell